# 1
# MnP2Au

A relaxed MnP2Au crystal (PBE-GGA, Alexandria via LeMat-Bulk).

Its crystal system is tetragonal. The calculation puts the electronic total energy at -5.52 eV/atom. The calculation puts the magnetic moment at 3.37 μB/f.u. Its energy relative to the lowest polymorph listed for this composition is 0.5026 eV/atom.

The space group is I-4m2 (No. 119) and the conventional cell measures 3.689, 3.689 and 9.154 Å, with angles of 90.00, 90.00 and 90.00 degrees. Symmetry generates all atoms from Mn at (0.000, 0.000, 0.000), P at (0.000, 0.000, 0.500), P at (0.000, 0.500, 0.750) and Au at (0.000, 0.500, 0.250).

# 2
# MnPAu2

A relaxed MnPAu2 crystal (PBE-GGA, Alexandria via LeMat-Bulk).

Its crystal system is monoclinic. The calculation puts the electronic total energy at -5.32 eV/atom. The calculation puts the magnetic moment at 2.84 μB/f.u.

The space group is Pm (No. 6) and the conventional cell measures 3.063, 3.194 and 6.761 Å, with angles of 90.00, 102.88 and 90.00 degrees. Symmetry generates all atoms from Mn at (0.000, 0.000, 0.000), P at (0.560, 0.500, 0.123), Au at (0.358, 0.500, 0.715) and Au at (0.712, 0.000, 0.427).